Entry 1:
Entry from the Alexandria database: an optimized crystal structure of InSn2Cl2 (GGA-PBE).

ΔE_f (raw)	-310	meV per atom
size of the total moment	0.0000	μB/atom

abc: 8.9454 8.9454 3.5850
angles: 90.00 90.00 90.00
Fractional coordinates of all 10 atoms:
Cl: 0.1253 0.6253 0.5000
Cl: 0.6253 0.8747 0.5000
Cl: 0.8747 0.3747 0.5000
Cl: 0.3747 0.1253 0.5000
Sn: 0.2864 0.7864 0.0000
Sn: 0.7864 0.7136 0.0000
Sn: 0.7136 0.2136 0.0000
Sn: 0.2136 0.2864 0.0000
In: 0.0000 0.0000 0.0000
In: 0.5000 0.5000 0.0000

---

Entry 2:
Entry from the Alexandria database: an optimized crystal structure of InSn2Cl (GGA-PBE).

ΔE_f (raw)	-119	meV per atom
energy above the lowest structure with this stoichiometry	59	meV/atom
size of the total moment	0.0000	μB/atom

abc: 5.2560 5.2560 5.2560
angles: 60.00 60.00 60.00
Fractional coordinates of all 4 atoms:
Cl: 0.0000 0.0000 0.0000
Sn: 0.2500 0.2500 0.2500
Sn: 0.7500 0.7500 0.7500
In: 0.5000 0.5000 0.5000